Record 1
## NdSmCuPd (GGA-PBE)

Data for crystalline NdSmCuPd at its relaxed geometry.

Output
Total DFT energy (no corrections), eV/cell: -20.81
Energy above the lowest structure with this stoichiometry, meV per atom: 0
Symmetry: Amm2, No. 38
M_tot, μB/cell: 0.00
Energy relative to the elements, eV per atom: -0.510

```
NdSmCuPd
1.0
-1.229 -1.282 3.435
-3.632 -1.955 -2.029
3.444 -3.905 -2.402
Nd Sm Cu Pd
1 1 1 1
Direct
0.861 0.500 0.722
0.138 0.000 0.276
0.425 0.000 0.849
0.577 0.500 0.153
```

Record 2
## NdSmCuPd (GGA-PBE)

Data for crystalline NdSmCuPd at its relaxed geometry.

Output
Total DFT energy (no corrections), eV/cell: -20.61
Energy above the lowest structure with this stoichiometry, meV per atom: 51
Symmetry: F-43m, No. 216
M_tot, μB/cell: 0.00
Energy relative to the elements, eV per atom: -0.459

```
NdSmCuPd
1.0
5.083 0.000 0.000
2.541 4.402 0.000
2.541 1.467 4.150
Pd Nd Cu Sm
1 1 1 1
Direct
0.750 0.750 0.750
0.000 0.000 0.000
0.250 0.250 0.250
0.500 0.500 0.500
```

Record 3
## NdCuSn2Pd (GGA-PBE)

Data for crystalline NdCuSn2Pd at its relaxed geometry.

Output
Total DFT energy (no corrections), eV/cell: -24.84
Symmetry: I-4m2, No. 119
M_tot, μB/cell: 0.00
Energy relative to the elements, eV per atom: -0.556

```
NdCuSn2Pd
1.0
4.484 0.000 0.000
0.000 4.484 0.000
-2.242 -2.242 5.560
Nd Sn Cu Pd
1 2 1 1
Direct
0.000 0.000 0.000
0.626 0.626 0.253
0.374 0.374 0.747
0.250 0.750 0.500
0.750 0.250 0.500
```